# YTa4W (PBEsol, optimized geometry)
# E_tot	-11.431	eV per atom
# density	14.41	g/cm3
# ΔH_f (0 K)	36.2	kJ per mole of atoms
# V	115	Å³/f.u.
data_YTa4W
_chemical_formula_sum 'Y1 Ta4 W1'
_cell_length_a 5.456
_cell_length_b 5.456
_cell_length_c 5.456
_cell_angle_alpha 60.00
_cell_angle_beta 60.00
_cell_angle_gamma 60.00
_space_group_name_H-M_alt 'P 1'
_space_group_IT_number 1
loop_
_space_group_symop_operation_xyz
'x,y,z'
loop_
_atom_site_label
_atom_site_fract_x
_atom_site_fract_y
_atom_site_fract_z
_atom_site_occupancy
Ta1 0.375 0.375 0.375 1
Ta2 0.375 0.375 0.875 1
Ta3 0.875 0.375 0.375 1
Ta4 0.375 0.875 0.375 1
W1 0.750 0.750 0.750 1
Y1 0.000 0.000 0.000 1